# 1
VASP calculation (GGA-PBE) on a relaxed NbSnRu2 crystal.

abc: 3.4388 4.3679 4.3679
angles: 90.00 90.00 90.00
Last column: nearest neighbours and their distance in Å.
Fractional coordinates of all 4 atoms:
Ru (0.0000, 0.0000, 0.5000)  4 Nb 2.78, 4 Sn 2.78, 4 Ru 3.09
Ru (0.0000, 0.5000, 0.0000)  4 Nb 2.78, 4 Sn 2.78, 4 Ru 3.09
Nb (0.5000, 0.5000, 0.5000)  8 Ru 2.78, 4 Sn 3.09
Sn (0.5000, 0.0000, 0.0000)  8 Ru 2.78, 4 Nb 3.09

Properties
ΔE_f	-0.74	eV/f.u.
total energy	-8.34	eV per atom
symmetry	P4/mmm (123)

=====

# 2
VASP calculation (GGA-PBE) on a relaxed Nb4SnRu5 crystal.

abc: 3.2435 3.2435 15.4531
angles: 90.00 90.00 90.00
Last column: nearest neighbours and their distance in Å.
Fractional coordinates of all 10 atoms:
Nb (0.0000, 0.0000, 0.2045)  8 Ru 2.76-2.77, 1 Nb 3.03
Nb (0.0000, 0.0000, 0.4003)  8 Ru 2.74-2.76, 1 Nb 3.03
Nb (0.0000, 0.0000, 0.5997)  8 Ru 2.74-2.76, 1 Nb 3.03
Nb (0.0000, 0.0000, 0.7955)  8 Ru 2.76-2.77, 1 Nb 3.03
Sn (0.0000, 0.0000, 0.0000)  8 Ru 2.80
Ru (0.5000, 0.5000, 0.1035)  4 Nb 2.77, 4 Sn 2.80, 1 Ru 3.09
Ru (0.5000, 0.5000, 0.3033)  8 Nb 2.74-2.76, 1 Ru 3.04
Ru (0.5000, 0.5000, 0.5000)  8 Nb 2.76, 2 Ru 3.04
Ru (0.5000, 0.5000, 0.6967)  8 Nb 2.74-2.76, 1 Ru 3.04
Ru (0.5000, 0.5000, 0.8965)  4 Nb 2.77, 4 Sn 2.80, 1 Ru 3.09

Properties
ΔE_f	-1.80	eV/f.u.
total energy	-9.25	eV per atom
symmetry	P4/mmm (123)

=====

# 3
VASP calculation (GGA-PBE) on a relaxed NbSnRu2 crystal.

abc: 5.9776 5.9776 5.9776
angles: 56.30 131.97 152.40
Last column: nearest neighbours and their distance in Å.
Fractional coordinates of all 4 atoms:
Ru (0.0000, 0.2301, 0.2301)  1 Nb 2.43
Ru (0.0000, 0.7699, 0.7699)  1 Nb 2.43
Nb (0.0000, 0.0000, 0.0000)  2 Ru 2.43
Sn (0.0000, 0.5000, 0.5000)  4 Nb 2.82, 2 Ru 2.85, 2 Sn 2.85

Properties
ΔE_f	2.24	eV/f.u.
total energy	-7.60	eV per atom
symmetry	Immm (71)

=====

# 4
VASP calculation (GGA-PBE) on a relaxed Nb2Sn2Ru3 crystal.

abc: 4.4925 4.4934 7.7338
angles: 90.12 106.87 119.99
Last column: nearest neighbours and their distance in Å.
Fractional coordinates of all 7 atoms:
Nb (0.2544, 0.1281, 0.3810)  5 Ru 2.55-2.78
Nb (0.7456, 0.8719, 0.6190)  5 Ru 2.55-2.78
Sn (0.7694, 0.3851, 0.1538)  6 Ru 2.73-2.83
Sn (0.2306, 0.6149, 0.8462)  6 Ru 2.73-2.83
Ru (0.0000, 0.0000, 0.0000)  2 Nb 2.78, 6 Sn 2.83
Ru (0.4871, 0.2429, 0.7311)  4 Nb 2.55-2.72, 3 Sn 2.73
Ru (0.5129, 0.7571, 0.2689)  4 Nb 2.55-2.72, 3 Sn 2.73

Properties
ΔE_f	-1.04	eV/f.u.
total energy	-8.14	eV per atom
symmetry	C2/m (12)

=====

# 5
VASP calculation (GGA-PBE) on a relaxed NbSn2Ru crystal.

abc: 3.0690 3.0690 10.2569
angles: 81.40 81.40 60.00
Last column: nearest neighbours and their distance in Å.
Fractional coordinates of all 4 atoms:
Ru (0.0000, 0.0000, 0.0000)  2 Sn 2.64
Nb (0.5000, 0.5000, 0.5000)  6 Sn 3.00, 6 Nb 3.07
Sn (0.0870, 0.0870, 0.7391)  1 Ru 2.64
Sn (0.9130, 0.9130, 0.2609)  1 Ru 2.64

Properties
ΔE_f	1.88	eV/f.u.
distance to the lowest polymorph of the same formula	1.38	eV per formula unit
total energy	-6.37	eV per atom
symmetry	R-3m (166)

=====

# 6
VASP calculation (GGA-PBE) on a relaxed NbSnRu2 crystal.

abc: 7.1301 7.1301 5.8228
angles: 52.25 52.25 90.00
Last column: nearest neighbours and their distance in Å.
Fractional coordinates of all 8 atoms:
Ru (0.5939, 0.1250, 0.2500)  2 Nb 2.48
Ru (0.1561, 0.6250, 0.2500)  2 Nb 2.48
Ru (0.3750, 0.4061, 0.7500)  2 Nb 2.48
Ru (0.8750, 0.8439, 0.7500)  2 Nb 2.48
Nb (0.5000, 0.5000, 0.0000)  4 Ru 2.48
Nb (0.2500, 0.7500, 0.5000)  4 Ru 2.48
Sn (0.0000, 0.0000, 0.0000)  4 Ru 2.78, 2 Nb 2.91
Sn (0.7500, 0.2500, 0.5000)  4 Ru 2.78, 2 Nb 2.91

Properties
ΔE_f	1.63	eV/f.u.
total energy	-7.75	eV per atom
symmetry	I-42d (122)

=====

The lowest ΔE_f belongs to which entry?
Nb4SnRu5

=====

What is the total energy in the sixth record?
-7.75 eV per atom

=====

Which of these has the highest ΔE_f?
number 3